Compound: TiHgAs2W
Source: the Alexandria database
Functional: GGA-PBE
Structure: relaxed

* symmetry: P4/mmm (123)
* total magnetization: 3.74 μB/cell

Cell lengths 4.810, 5.146, 4.810 Å; angles 90.00, 90.00, 90.00 degrees
Fractional coordinates of all 5 atoms:
As (0.000, 0.000, 0.500)
As (0.500, 0.000, 0.000)
Hg (0.000, 0.500, 0.000)
W (0.500, 0.500, 0.500)
Ti (0.000, 0.000, 0.000)


Compound: Tl7Hg2As
Source: the Alexandria database
Functional: GGA-PBE
Structure: relaxed

* symmetry: C2/c (15)
* total magnetization: 0.00 μB/cell

Cell lengths 8.609, 9.939, 8.913 Å; angles 77.41, 61.12, 64.34 degrees
Fractional coordinates of all 20 atoms:
Tl (0.663, 0.567, 0.871)
Tl (0.900, 0.067, 0.371)
Tl (0.254, 0.924, 0.924)
Tl (0.338, 0.182, 0.516)
Tl (0.546, 0.250, 0.750)
Tl (0.897, 0.424, 0.424)
Tl (0.036, 0.318, 0.984)
Tl (0.964, 0.682, 0.016)
Tl (0.103, 0.576, 0.576)
Tl (0.454, 0.750, 0.250)
Tl (0.662, 0.818, 0.484)
Tl (0.746, 0.076, 0.076)
Tl (0.100, 0.933, 0.629)
Tl (0.337, 0.433, 0.129)
Hg (0.693, 0.895, 0.817)
Hg (0.595, 0.395, 0.317)
Hg (0.405, 0.605, 0.683)
Hg (0.307, 0.105, 0.183)
As (0.905, 0.250, 0.750)
As (0.095, 0.750, 0.250)


Compound: Tl6HgAs2
Source: the Alexandria database
Functional: GGA-PBE
Structure: relaxed

* symmetry: C2/m (12)
* total magnetization: 0.00 μB/cell

Cell lengths 4.479, 7.772, 8.979 Å; angles 74.93, 104.44, 90.00 degrees
Fractional coordinates of all 9 atoms:
Tl (0.316, 0.837, 0.632)
Tl (0.009, 0.267, 0.018)
Tl (0.671, 0.676, 0.342)
Tl (0.991, 0.733, 0.982)
Tl (0.684, 0.163, 0.368)
Tl (0.329, 0.324, 0.658)
Hg (0.500, 0.000, 0.000)
As (0.860, 0.560, 0.720)
As (0.140, 0.440, 0.280)


The energy of formation from the pure elements results, record by record, are as follows: 1.1720; 0.0059; 0.0123 eV per atom.
The Fermi-level density of states results, record by record, are as follows: 4.1; 9.1; 1.7 states/eV/cell.